(1)
# PBE Ba2Li2La, optimized geometry
data_Ba2Li2La
_cell_length_a 9.9004
_cell_length_b 9.9004
_cell_length_c 3.8503
_cell_angle_alpha 90.00
_cell_angle_beta 90.00
_cell_angle_gamma 90.00
_symmetry_space_group_name_H-M 'P 4/m b m'
_symmetry_Int_Tables_number 127
_symmetry_space_group_name_Hall '-P 4 2ab'
loop_
_atom_site_label
_atom_site_type_symbol
_atom_site_fract_x
_atom_site_fract_y
_atom_site_fract_z
Ba1 Ba 0.1406 0.3594 0.0000
Li1 Li 0.1621 0.6621 0.5000
La1 La 0.0000 0.0000 0.0000
# - ΔE to the lowest computed polymorph: 72 meV per atom

***

(2)
# PBE Ba2Li2La, optimized geometry
data_Ba2Li2La
_cell_length_a 9.4541
_cell_length_b 9.4541
_cell_length_c 4.5895
_cell_angle_alpha 90.00
_cell_angle_beta 90.00
_cell_angle_gamma 90.00
_symmetry_space_group_name_H-M 'P 4/m b m'
_symmetry_Int_Tables_number 127
_symmetry_space_group_name_Hall '-P 4 2ab'
loop_
_atom_site_label
_atom_site_type_symbol
_atom_site_fract_x
_atom_site_fract_y
_atom_site_fract_z
Ba1 Ba 0.1870 0.3130 0.0000
Li1 Li 0.1130 0.6130 0.5000
La1 La 0.0000 0.0000 0.5000
# - ΔE to the lowest computed polymorph: 0 meV per atom